Model one:
First-principles (PBE) data for crystalline Rb2TcF at its relaxed geometry, as listed in the Alexandria database.

The calculation puts the theoretical density at 3.2 g cm⁻³.

The structure in CIF format:
```
data_Rb2TcF
_chemical_formula_sum 'Rb8 Tc4 F4'
_symmetry_space_group_name_H-M 'F m -3 m'
_symmetry_Int_Tables_number 225
_symmetry_space_group_name_Hall '-F 4 2 3'
_cell_length_a 8.4189
_cell_length_b 8.4189
_cell_length_c 8.4189
_cell_angle_alpha 90.00
_cell_angle_beta 90.00
_cell_angle_gamma 90.00
loop_
_atom_site_label
_atom_site_fract_x
_atom_site_fract_y
_atom_site_fract_z
Rb1 0.2500 0.2500 0.2500
Tc1 0.0000 0.0000 0.0000
F1 0.0000 0.0000 0.5000
```

***

Model two:
First-principles (PBE) data for crystalline Rb2TcF at its relaxed geometry, as listed in the Alexandria database.

The calculation puts the theoretical density at 3.0 g cm⁻³.

The structure in CIF format:
```
data_Rb2TcF
_chemical_formula_sum 'Rb8 Tc4 F4'
_symmetry_space_group_name_H-M 'I -4 2 d'
_symmetry_Int_Tables_number 122
_symmetry_space_group_name_Hall 'I -4 2bw'
_cell_length_a 8.1596
_cell_length_b 8.1596
_cell_length_c 9.4264
_cell_angle_alpha 90.00
_cell_angle_beta 90.00
_cell_angle_gamma 90.00
loop_
_atom_site_label
_atom_site_fract_x
_atom_site_fract_y
_atom_site_fract_z
Rb1 0.1492 0.7500 0.1250
Tc1 0.0000 0.0000 0.5000
F1 0.0000 0.0000 0.0000
```

***

Pick model two: it beats the second-best structure by 0.347 eV/atom.

***

Model one:
First-principles (PBE) data for crystalline Rb2TlTcF6 at its relaxed geometry, as listed in the Alexandria database.

The calculation puts the theoretical density at 4.8 g cm⁻³.

The structure in CIF format:
```
data_Rb2TlTcF6
_chemical_formula_sum 'Rb4 Tl2 Tc2 F12'
_symmetry_space_group_name_H-M 'I 4/m m m'
_symmetry_Int_Tables_number 139
_symmetry_space_group_name_Hall '-I 4 2'
_cell_length_a 6.6071
_cell_length_b 6.6071
_cell_length_c 9.4017
_cell_angle_alpha 90.00
_cell_angle_beta 90.00
_cell_angle_gamma 90.00
loop_
_atom_site_label
_atom_site_fract_x
_atom_site_fract_y
_atom_site_fract_z
Rb1 0.0000 0.5000 0.2500
Tl1 0.0000 0.0000 0.0000
Tc1 0.0000 0.0000 0.5000
F1 0.0000 0.0000 0.2795
F2 0.2180 0.2180 0.5000
```

***

Model two:
First-principles (PBE) data for crystalline Rb2TlTcF6 at its relaxed geometry, as listed in the Alexandria database.

The calculation puts the theoretical density at 4.7 g cm⁻³.

The structure in CIF format:
```
data_Rb2TlTcF6
_chemical_formula_sum 'Rb4 Tl2 Tc2 F12'
_symmetry_space_group_name_H-M 'P m m n'
_symmetry_Int_Tables_number 59
_cell_length_a 6.1895
_cell_length_b 9.3289
_cell_length_c 7.2162
_cell_angle_alpha 90.00
_cell_angle_beta 90.00
_cell_angle_gamma 90.00
loop_
_symmetry_equiv_pos_as_xyz
'x,y,z'
'-x,-y,-z'
'-x+1/2,-y+1/2,z'
'x+1/2,y+1/2,-z'
'x+1/2,-y,-z'
'-x+1/2,y,z'
'-x,y+1/2,-z'
'x,-y+1/2,z'
loop_
_atom_site_label
_atom_site_fract_x
_atom_site_fract_y
_atom_site_fract_z
Rb1 0.2500 0.0282 0.1965
Tl1 0.2500 0.2500 0.6991
Tc1 0.2500 0.7500 0.7962
F1 0.0156 0.7500 0.5987
F2 0.0226 0.7500 0.0024
F3 0.2500 0.5272 0.8029
```

***

Pick model two: it beats the second-best structure by 0.016 eV/atom.

***

Model one:
First-principles (PBE) data for crystalline RbTeF3 at its relaxed geometry, as listed in the Alexandria database.

The calculation puts the theoretical density at 4.2 g cm⁻³.

The structure in CIF format:
```
data_RbTeF3
_chemical_formula_sum 'Rb1 Te1 F3'
_symmetry_space_group_name_H-M 'P m -3 m'
_symmetry_Int_Tables_number 221
_symmetry_space_group_name_Hall '-P 4 2 3'
_cell_length_a 4.7365
_cell_length_b 4.7365
_cell_length_c 4.7365
_cell_angle_alpha 90.00
_cell_angle_beta 90.00
_cell_angle_gamma 90.00
loop_
_atom_site_label
_atom_site_fract_x
_atom_site_fract_y
_atom_site_fract_z
Rb1 0.0000 0.0000 0.0000
Te1 0.5000 0.5000 0.5000
F1 0.0000 0.0000 0.5000
```

***

Model two:
First-principles (PBE) data for crystalline RbTeF3 at its relaxed geometry, as listed in the Alexandria database.

The calculation puts the theoretical density at 4.1 g cm⁻³.

The structure in CIF format:
```
data_RbTeF3
_chemical_formula_sum 'Rb1 Te1 F3'
_symmetry_space_group_name_H-M 'P m -3 m'
_symmetry_Int_Tables_number 221
_symmetry_space_group_name_Hall '-P 4 2 3'
_cell_length_a 4.7810
_cell_length_b 4.7810
_cell_length_c 4.7810
_cell_angle_alpha 90.00
_cell_angle_beta 90.00
_cell_angle_gamma 90.00
loop_
_atom_site_label
_atom_site_fract_x
_atom_site_fract_y
_atom_site_fract_z
Rb1 0.0000 0.0000 0.0000
Te1 0.5000 0.5000 0.5000
F1 0.0000 0.5000 0.5000
```

***

Model three:
First-principles (PBE) data for crystalline RbTeF3 at its relaxed geometry, as listed in the Alexandria database.

The calculation puts the theoretical density at 3.7 g cm⁻³.

The structure in CIF format:
```
data_RbTeF3
_chemical_formula_sum 'Rb2 Te2 F6'
_symmetry_space_group_name_H-M 'P -1'
_symmetry_Int_Tables_number 2
_symmetry_space_group_name_Hall '-P 1'
_cell_length_a 4.8311
_cell_length_b 6.4050
_cell_length_c 8.5581
_cell_angle_alpha 68.06
_cell_angle_beta 85.11
_cell_angle_gamma 89.97
loop_
_atom_site_label
_atom_site_fract_x
_atom_site_fract_y
_atom_site_fract_z
Rb1 0.2486 0.3450 0.3098
Te1 0.3437 0.0961 0.8084
F1 0.2343 0.4096 0.6484
F2 0.2340 0.9427 0.6485
F3 0.4991 0.7584 0.9995
```

***

Model four:
First-principles (PBE) data for crystalline RbTeF3 at its relaxed geometry, as listed in the Alexandria database.

The calculation puts the theoretical density at 3.4 g cm⁻³.

The structure in CIF format:
```
data_RbTeF3
_chemical_formula_sum 'Rb4 Te4 F12'
_symmetry_space_group_name_H-M 'I 4/m m m'
_symmetry_Int_Tables_number 139
_symmetry_space_group_name_Hall '-I 4 2'
_cell_length_a 6.9676
_cell_length_b 6.9676
_cell_length_c 10.9123
_cell_angle_alpha 90.00
_cell_angle_beta 90.00
_cell_angle_gamma 90.00
loop_
_atom_site_label
_atom_site_fract_x
_atom_site_fract_y
_atom_site_fract_z
Rb1 0.0000 0.5000 0.2500
Te1 0.0000 0.0000 0.0000
Te2 0.0000 0.0000 0.5000
F1 0.0000 0.0000 0.1911
F2 0.2119 0.2119 0.0000
```

***

Pick model three: it beats the second-best structure by 0.137 eV/atom.